Computed, not measured: an optimized crystal structure of NaMo2WS at the PBE level of DFT.

## Properties
The space group is P4/mmm. The value obtained for the energy relative to the elements, uncorrected is 641 kJ/mol of formula units. The calculation puts the final energy at -33.41 eV/cell.

a b c (Å): 5.005 5.005 4.701
angles (deg): 90.00 90.00 90.00
Sites, in units of the cell vectors:
Na: 0.000 0.000 0.000
Mo: 0.000 0.500 0.500
Mo: 0.500 0.000 0.500
W: 0.500 0.500 0.500
S: 0.500 0.500 0.000

Computed, not measured: an optimized crystal structure of NaSb2Mo at the PBE level of DFT.

## Properties
The space group is P4/mmm. The value obtained for the energy relative to the elements, uncorrected is -34 kJ/mol of formula units. The calculation puts the offset from the most stable computed form at 0.000 eV/atom. The calculation puts the final energy at -20.75 eV/cell.

a b c (Å): 3.355 3.355 8.116
angles (deg): 90.00 90.00 90.00
Sites, in units of the cell vectors:
Na: 0.000 0.000 0.000
Sb: 0.500 0.500 0.299
Sb: 0.500 0.500 0.701
Mo: 0.000 0.000 0.500

Computed, not measured: an optimized crystal structure of Na2Sb2Mo at the PBE level of DFT.

## Properties
The space group is I4/mmm. The value obtained for the energy relative to the elements, uncorrected is 155 kJ/mol of formula units. The calculation puts the offset from the most stable computed form at 0.224 eV/atom. The calculation puts the final energy at -20.11 eV/cell.

a b c (Å): 8.607 8.607 8.607
angles (deg): 155.62 155.62 34.75
Sites, in units of the cell vectors:
Na: 0.250 0.750 0.500
Na: 0.750 0.250 0.500
Sb: 0.093 0.093 0.000
Sb: 0.907 0.907 0.000
Mo: 0.500 0.500 0.000

Computed, not measured: an optimized crystal structure of NaSb2Mo at the PBE level of DFT.

## Properties
The space group is R-3m. The value obtained for the energy relative to the elements, uncorrected is -25 kJ/mol of formula units. The calculation puts the offset from the most stable computed form at 0.026 eV/atom. The calculation puts the final energy at -20.65 eV/cell.

a b c (Å): 9.229 9.229 9.229
angles (deg): 21.82 21.82 21.82
Sites, in units of the cell vectors:
Na: 0.000 0.000 0.000
Sb: 0.236 0.236 0.236
Sb: 0.764 0.764 0.764
Mo: 0.500 0.500 0.500

Computed, not measured: an optimized crystal structure of NaSb2Mo at the PBE level of DFT.

## Properties
The space group is Fm-3m. The value obtained for the energy relative to the elements, uncorrected is 93 kJ/mol of formula units. The calculation puts the offset from the most stable computed form at 0.331 eV/atom. The calculation puts the final energy at -19.43 eV/cell.

a b c (Å): 4.957 4.957 4.957
angles (deg): 60.00 60.00 60.00
Sites, in units of the cell vectors:
Na: 0.000 0.000 0.000
Sb: 0.250 0.250 0.250
Sb: 0.750 0.750 0.750
Mo: 0.500 0.500 0.500

Computed, not measured: an optimized crystal structure of NaSbMo2 at the PBE level of DFT.

## Properties
The space group is I-42d. The value obtained for the energy relative to the elements, uncorrected is 406 kJ/mol of formula units. The calculation puts the final energy at -45.79 eV/cell.

a b c (Å): 6.185 6.185 6.185
angles (deg): 100.60 100.60 129.20
Sites, in units of the cell vectors:
Na: 0.000 0.000 0.000
Na: 0.750 0.250 0.500
Sb: 0.250 0.750 0.500
Sb: 0.500 0.500 0.000
Mo: 0.164 0.625 0.039
Mo: 0.375 0.414 0.539
Mo: 0.586 0.125 0.961
Mo: 0.875 0.836 0.461

Computed, not measured: an optimized crystal structure of NaSb2Mo2 at the PBE level of DFT.

## Properties
The space group is I4/mmm. The value obtained for the energy relative to the elements, uncorrected is 107 kJ/mol of formula units. The calculation puts the offset from the most stable computed form at 0.196 eV/atom. The calculation puts the final energy at -30.12 eV/cell.

a b c (Å): 5.830 5.830 5.830
angles (deg): 128.19 128.19 76.31
Sites, in units of the cell vectors:
Na: 0.000 0.000 0.000
Sb: 0.250 0.750 0.500
Sb: 0.750 0.250 0.500
Mo: 0.381 0.381 0.000
Mo: 0.619 0.619 0.000

Computed, not measured: an optimized crystal structure of NaSb2Mo2 at the PBE level of DFT.

## Properties
The space group is I4/mmm. The value obtained for the energy relative to the elements, uncorrected is 12 kJ/mol of formula units. The calculation puts the offset from the most stable computed form at 0.000 eV/atom. The calculation puts the final energy at -31.10 eV/cell.

a b c (Å): 8.793 8.793 8.793
angles (deg): 154.85 154.85 35.86
Sites, in units of the cell vectors:
Na: 0.000 0.000 0.000
Sb: 0.372 0.372 0.000
Sb: 0.628 0.628 0.000
Mo: 0.250 0.750 0.500
Mo: 0.750 0.250 0.500

Computed, not measured: an optimized crystal structure of NaSb2Mo at the PBE level of DFT.

## Properties
The space group is I-42d. The value obtained for the energy relative to the elements, uncorrected is 160 kJ/mol of formula units. The calculation puts the offset from the most stable computed form at 0.505 eV/atom. The calculation puts the final energy at -37.47 eV/cell.

a b c (Å): 7.855 7.855 7.855
angles (deg): 127.52 127.52 77.40
Sites, in units of the cell vectors:
Na: 0.000 0.000 0.000
Na: 0.750 0.250 0.500
Sb: 0.203 0.625 0.078
Sb: 0.375 0.453 0.578
Sb: 0.547 0.125 0.922
Sb: 0.875 0.797 0.422
Mo: 0.250 0.750 0.500
Mo: 0.500 0.500 0.000

Computed, not measured: an optimized crystal structure of Na2Sb2Mo at the PBE level of DFT.

## Properties
The space group is P4/mbm. The value obtained for the energy relative to the elements, uncorrected is 47 kJ/mol of formula units. The calculation puts the offset from the most stable computed form at 0.000 eV/atom. The calculation puts the final energy at -42.46 eV/cell.

a b c (Å): 7.198 7.198 5.105
angles (deg): 90.00 90.00 90.00
Sites, in units of the cell vectors:
Na: 0.169 0.331 0.000
Na: 0.331 0.831 0.000
Na: 0.669 0.169 0.000
Na: 0.831 0.669 0.000
Sb: 0.148 0.648 0.500
Sb: 0.352 0.148 0.500
Sb: 0.648 0.852 0.500
Sb: 0.852 0.352 0.500
Mo: 0.000 0.000 0.500
Mo: 0.500 0.500 0.500

Computed, not measured: an optimized crystal structure of NaTcSb2Mo at the PBE level of DFT.

## Properties
The space group is P4/mmm. The value obtained for the energy relative to the elements, uncorrected is 382 kJ/mol of formula units. The calculation puts the final energy at -26.81 eV/cell.

a b c (Å): 5.307 5.307 4.801
angles (deg): 90.00 90.00 90.00
Sites, in units of the cell vectors:
Na: 0.000 0.000 0.000
Tc: 0.500 0.500 0.000
Sb: 0.000 0.500 0.500
Sb: 0.500 0.000 0.500
Mo: 0.500 0.500 0.500

Computed, not measured: an optimized crystal structure of NaSbTe2Mo at the PBE level of DFT.

## Properties
The space group is P4/mmm. The value obtained for the energy relative to the elements, uncorrected is 83 kJ/mol of formula units. The calculation puts the offset from the most stable computed form at 0.000 eV/atom. The calculation puts the final energy at -21.70 eV/cell.

a b c (Å): 5.453 5.453 5.259
angles (deg): 90.00 90.00 90.00
Sites, in units of the cell vectors:
Na: 0.000 0.000 0.000
Sb: 0.500 0.500 0.000
Te: 0.000 0.500 0.500
Te: 0.500 0.000 0.500
Mo: 0.500 0.500 0.500